Material: V2BiRhO8
Method: DFT, PBE+U
State: optimized geometry

a = 5.6704 Å, b = 5.6704 Å, c = 6.3556 Å
α = 90.00°, β = 90.00°, γ = 120.00°
Closest atoms and distances in Å follow each position.
Sites, in units of the cell vectors:
V 0.3333 0.6667 0.2754  4 O 1.65-1.78
V 0.6667 0.3333 0.7246  4 O 1.65-1.78
Bi 0.0000 0.0000 0.5000  6 O 2.42
Rh 0.0000 0.0000 0.0000  6 O 2.02
O 0.1557 0.3145 0.2060  1 V 1.78
O 0.1587 0.8443 0.2060  1 V 1.78
O 0.3145 0.1587 0.7940  1 V 1.78
O 0.3333 0.6667 0.5355  1 V 1.65
O 0.6667 0.3333 0.4645  1 V 1.65
O 0.6855 0.8413 0.2060  1 V 1.78
O 0.8413 0.1557 0.7940  1 V 1.78
O 0.8443 0.6855 0.7940  1 V 1.78

Output
Energy: -6.90 eV per atom
Total magnetization: 0.0 μB per formula unit
Volume: 177.0 Å³/f.u.